! Mn2SI (GGA-PBE, relaxed); values from VASP
&SYSTEM
  ibrav = 0, nat = 8, ntyp = 3
/
ATOMIC_SPECIES
Mn 54.94 Mn.upf
S 32.06 S.upf
I 126.90 I.upf
ATOMIC_POSITIONS crystal
Mn 0.055 0.625 0.930
Mn 0.375 0.305 0.430
Mn 0.695 0.125 0.070
Mn 0.875 0.945 0.570
S 0.000 0.000 0.000
S 0.750 0.250 0.500
I 0.250 0.750 0.500
I 0.500 0.500 0.000
CELL_PARAMETERS angstrom
-2.581 2.581 5.717
2.581 -2.581 5.717
2.581 2.581 -5.717
! **DFT total energy**: -5.672 eV per atom
! **Formation energy from raw total energies**: 0.332 eV per atom
! **D(E_F)**: 8.16 states/eV/f.u.
! **Relative energy among the computed polymorphs**: 0.000 eV per atom
! **Crystal system**: tetragonal

! SmDyGa (GGA-PBE, relaxed); values from VASP
&SYSTEM
  ibrav = 0, nat = 3, ntyp = 3
/
ATOMIC_SPECIES
Sm 150.36 Sm.upf
Dy 162.50 Dy.upf
Ga 69.72 Ga.upf
ATOMIC_POSITIONS crystal
Sm 0.000 0.000 0.000
Dy 0.667 0.333 0.459
Ga 0.333 0.667 0.679
CELL_PARAMETERS angstrom
4.997 0.000 0.000
-2.498 4.327 0.000
0.000 0.000 3.719
! **DFT total energy**: -4.391 eV per atom
! **D(E_F)**: 1.28 states/eV/f.u.
! **Relative energy among the computed polymorphs**: 0.129 eV per atom
! **ΔH_f (0 K)**: -0.8 eV/f.u.
! **Crystal system**: trigonal

! Cd8Ni4Ag (GGA-PBE, relaxed); values from VASP
&SYSTEM
  ibrav = 0, nat = 13, ntyp = 3
/
ATOMIC_SPECIES
Cd 112.41 Cd.upf
Ni 58.69 Ni.upf
Ag 107.87 Ag.upf
ATOMIC_POSITIONS crystal
Cd 0.000 0.224 0.224
Cd 0.000 0.776 0.776
Cd 0.186 0.500 0.686
Cd 0.224 0.000 0.224
Cd 0.500 0.186 0.686
Cd 0.500 0.814 0.314
Cd 0.776 0.000 0.776
Cd 0.814 0.500 0.314
Ni 0.000 0.000 0.500
Ni 0.000 0.500 0.000
Ni 0.500 0.000 0.000
Ni 0.500 0.500 0.500
Ag 0.500 0.500 0.000
CELL_PARAMETERS angstrom
-4.615 4.615 2.788
4.615 -4.615 2.788
4.615 4.615 -2.788
! **DFT total energy**: -2.530 eV per atom
! **D(E_F)**: 6.16 states/eV/f.u.
! **ΔH_f (0 K)**: 0.4 eV/f.u.
! **Crystal system**: tetragonal

! P2PtAuO (GGA-PBE, relaxed); values from VASP
&SYSTEM
  ibrav = 0, nat = 5, ntyp = 4
/
ATOMIC_SPECIES
P 30.97 P.upf
Pt 195.08 Pt.upf
Au 196.97 Au.upf
O 16.00 O.upf
ATOMIC_POSITIONS crystal
P 0.000 0.500 0.000
P 0.500 0.000 0.000
Pt 0.000 0.000 0.000
Au 0.500 0.500 0.500
O 0.000 0.000 0.500
CELL_PARAMETERS angstrom
4.835 0.000 0.000
0.000 4.835 0.000
0.000 0.000 3.755
! **DFT total energy**: -4.496 eV per atom
! **Formation energy from raw total energies**: 0.524 eV per atom
! **D(E_F)**: 4.78 states/eV/f.u.
! **Relative energy among the computed polymorphs**: 0.000 eV per atom
! **Crystal system**: tetragonal

> Which of these has the lowest DFT total energy?

Mn2SI